1.
The following is a GGA-PBE calculation of crystalline Pu8Sb5Se at its relaxed geometry, from Alexandria via LeMat-Bulk.

Cell: 7.9787 7.9787 7.9787 Å, 109.51 109.51 109.39°
Fractional positions:
Pu 0.1223 0.7290 0.7632
Pu 0.1253 0.2206 0.7543
Pu 0.2710 0.0342 0.3933
Pu 0.4663 0.3710 0.2457
Pu 0.6290 0.8747 0.0953
Pu 0.6409 0.8777 0.6067
Pu 0.7794 0.5337 0.9047
Pu 0.9658 0.3591 0.2368
Sb 0.2550 0.6300 0.1330
Sb 0.3700 0.5030 0.6251
Sb 0.4970 0.1220 0.8670
Sb 0.7500 0.2500 0.5000
Sb 0.8780 0.7450 0.3749
Se 0.0000 0.0000 0.0000

## Properties
Its total energy is -10.65 eV/atom. Its space group is I-4 (82). The raw formation energy is -0.74 eV per atom. Its total magnetic moment is 47.00 μB per formula unit.

2.
The following is a GGA-PBE calculation of crystalline Ba2SrUAs6 at its relaxed geometry, from Alexandria via LeMat-Bulk.

Cell: 6.7098 6.7098 9.5768 Å, 110.62 110.62 59.82°
Fractional positions:
Ba 0.2172 0.2172 0.1507
Ba 0.7828 0.7828 0.8493
Sr 0.0000 0.0000 0.5000
U 0.5000 0.5000 0.0000
As 0.1824 0.7578 0.1956
As 0.2422 0.8176 0.8044
As 0.2438 0.2438 0.8042
As 0.7562 0.7562 0.1958
As 0.7578 0.1824 0.1956
As 0.8176 0.2422 0.8044

## Properties
Its total energy is -5.13 eV/atom. Its space group is C2/m (12). For the energy relative to the elements, the calculation gives -0.66 eV per atom. Its total magnetic moment is 1.44 μB per formula unit.

3.
The following is a GGA-PBE calculation of crystalline Nd4Ga2Br5 at its relaxed geometry, from Alexandria via LeMat-Bulk.

Cell: 12.2475 12.2475 8.4771 Å, 97.92 97.92 19.59°
Fractional positions:
Nd 0.0142 0.0142 0.2801
Nd 0.3390 0.3390 0.5413
Nd 0.6610 0.6610 0.4587
Nd 0.9858 0.9858 0.7199
Ga 0.4489 0.4489 0.4593
Ga 0.5511 0.5511 0.5407
Br 0.1364 0.1364 0.2090
Br 0.2194 0.2194 0.6722
Br 0.5000 0.5000 0.0000
Br 0.7806 0.7806 0.3278
Br 0.8636 0.8636 0.7910

## Properties
Its total energy is -4.28 eV/atom. Its space group is C2/m (12). The raw formation energy is -1.23 eV per atom. Its total magnetic moment is 0.00 μB per formula unit.